The following is a DFT calculation (GGA-PBE) of AcPrAlPt after structural relaxation.

The structure in CIF format:
```
data_AcPrAlPt
_cell_length_a 4.5144
_cell_length_b 4.5144
_cell_length_c 20.4208
_cell_angle_alpha 90.00
_cell_angle_beta 90.00
_cell_angle_gamma 120.00
_symmetry_space_group_name_H-M 'R 3 m'
_symmetry_Int_Tables_number 160
_symmetry_space_group_name_Hall 'R 3 -2"'
loop_
_atom_site_label
_atom_site_type_symbol
_atom_site_fract_x
_atom_site_fract_y
_atom_site_fract_z
Ac1 Ac 0.0000 0.0000 0.0000
Pr1 Pr 0.0000 0.0000 0.8180
Al1 Al 0.0000 0.0000 0.2305
Pt1 Pt 0.0000 0.0000 0.5743
```

Values from the calculation:
For the spin magnetization, the calculation gives 1.354 μB per cell. As for the formation energy: -675 meV per atom.